[1]
## LiTlIn2 (GGA-PBEsol)

Data for crystalline LiTlIn2 at its relaxed geometry.

Calculated values
space group = No. 25

Unit cell a=3.3995 b=5.0805 c=5.5563 alpha=90.00 beta=90.02 gamma=90.00
Sites, in units of the cell vectors:
1 Tl 0.3745 0.5000 0.7749
2 In 0.8750 0.0000 0.9757
3 In 0.8747 0.5000 0.2882
4 Li 0.3758 0.0000 0.4613

---

[2]
## LiTlIn2 (GGA-PBEsol)

Data for crystalline LiTlIn2 at its relaxed geometry.

Calculated values
space group = No. 123

Unit cell a=3.2427 b=3.2427 c=8.7651 alpha=90.00 beta=90.00 gamma=90.04
Sites, in units of the cell vectors:
1 Tl 0.5000 0.5000 0.0000
2 In 0.0000 0.0000 0.2871
3 In 0.0000 0.0000 0.7129
4 Li 0.5000 0.5000 0.5000

---

[3]
## LiTmIn2 (GGA-PBEsol)

Data for crystalline LiTmIn2 at its relaxed geometry.

Calculated values
space group = No. 225

Unit cell a=5.0036 b=5.0036 c=5.0036 alpha=60.00 beta=60.00 gamma=60.00
Sites, in units of the cell vectors:
1 Tm 0.0000 0.0000 0.0000
2 In 0.2500 0.2500 0.2500
3 In 0.7500 0.7500 0.7500
4 Li 0.5000 0.5000 0.5000

---

[4]
## Li2TmIn (GGA-PBEsol)

Data for crystalline Li2TmIn at its relaxed geometry.

Calculated values
space group = No. 225

Unit cell a=4.7382 b=4.7382 c=4.7382 alpha=60.00 beta=60.00 gamma=60.00
Sites, in units of the cell vectors:
1 Tm 0.0000 0.0000 0.0000
2 In 0.5000 0.5000 0.5000
3 Li 0.2500 0.2500 0.2500
4 Li 0.7500 0.7500 0.7500

---

[5]
## LiIn2W (GGA-PBEsol)

Data for crystalline LiIn2W at its relaxed geometry.

Calculated values
space group = No. 166
distance to the lowest polymorph of the same formula = 0 meV per atom

Unit cell a=3.0016 b=3.0016 c=9.6427 alpha=81.05 beta=81.05 gamma=60.00
Sites, in units of the cell vectors:
1 In 0.2497 0.2497 0.2509
2 In 0.7503 0.7503 0.7491
3 Li 0.5000 0.5000 0.5000
4 W 0.0000 0.0000 0.0000

---

[6]
## LiInW (GGA-PBEsol)

Data for crystalline LiInW at its relaxed geometry.

Calculated values
space group = No. 44

Unit cell a=2.7697 b=3.5878 c=5.3364 alpha=109.64 beta=105.04 gamma=90.00
Sites, in units of the cell vectors:
1 In 0.0128 0.0128 0.0256
2 Li 0.6612 0.6612 0.3224
3 W 0.3260 0.3260 0.6520

---

[7]
## LiIn4W (GGA-PBEsol)

Data for crystalline LiIn4W at its relaxed geometry.

Calculated values
space group = No. 216

Unit cell a=5.6223 b=5.6223 c=5.6223 alpha=60.00 beta=60.00 gamma=60.00
Site moments in Bohr magnetons follow the coordinates.
Sites, in units of the cell vectors:
1 In 0.3748 0.3748 0.3748  -0.03
2 In 0.3748 0.3748 0.8754  -0.03
3 In 0.8754 0.3748 0.3748  -0.03
4 In 0.3748 0.8754 0.3748  -0.03
5 Li 0.7500 0.7500 0.7500  0.00
6 W 0.0000 0.0000 0.0000  0.85

---

[8]
## LiIn2W (GGA-PBEsol)

Data for crystalline LiIn2W at its relaxed geometry.

Calculated values
space group = No. 47
distance to the lowest polymorph of the same formula = 5 meV per atom

Unit cell a=2.9512 b=3.7450 c=6.3547 alpha=90.00 beta=90.00 gamma=90.00
Sites, in units of the cell vectors:
1 In 0.0000 0.0000 0.7599
2 In 0.0000 0.0000 0.2401
3 Li 0.5000 0.5000 0.0000
4 W 0.5000 0.5000 0.5000

---

| no. | total magnetic moment (μB per atom) | calculated formation energy (eV/atom) |
| --- | --- | --- |
| 1 | 0.000 | -0.12 |
| 2 | 0.000 | -0.13 |
| 3 | 0.000 | -0.41 |
| 4 | 0.000 | -0.29 |
| 5 | 0.000 | 0.24 |
| 6 | 0.000 | 0.57 |
| 7 | 0.167 | 0.66 |
| 8 | 0.000 | 0.24 |